1.
Density functional theory data (PBE) for a relaxed ReTc2Ru crystal.

Lattice parameters (Å, degrees): 4.3722 11.0494 4.7914 90.00 90.00 90.00
With the nearest neighbours (Å) after each atom.
Element x y z (fractional)
Tc 0.9376 0.3118 0.0828  6 Tc 2.70-2.76, 3 Re 2.71-2.77, 3 Ru 2.75-2.77
Ru 0.9375 0.4374 0.5819  6 Tc 2.70-2.77, 2 Ru 2.70, 4 Re 2.71-2.78
Re 0.4375 0.4378 0.9145  4 Ru 2.71-2.78, 2 Re 2.71, 6 Tc 2.71-2.78
Tc 0.9376 0.1882 0.5828  6 Tc 2.70-2.76, 3 Re 2.71-2.77, 3 Ru 2.75-2.77
Tc 0.4376 0.6882 0.9172  6 Tc 2.70-2.76, 3 Re 2.71-2.77, 3 Ru 2.75-2.77
Ru 0.4375 0.9374 0.9181  6 Tc 2.70-2.77, 2 Ru 2.70, 4 Re 2.71-2.78
Tc 0.9376 0.8131 0.0815  3 Ru 2.70-2.76, 6 Tc 2.70-2.77, 3 Re 2.75-2.78
Re 0.4375 0.0622 0.4145  4 Ru 2.71-2.78, 2 Re 2.71, 6 Tc 2.71-2.78
Ru 0.4375 0.5626 0.4181  6 Tc 2.70-2.77, 2 Ru 2.70, 4 Re 2.71-2.78
Tc 0.4376 0.3131 0.4185  3 Ru 2.70-2.76, 6 Tc 2.70-2.77, 3 Re 2.75-2.78
Tc 0.4376 0.1869 0.9185  3 Ru 2.70-2.76, 6 Tc 2.70-2.77, 3 Re 2.75-2.78
Ru 0.9375 0.0626 0.0819  6 Tc 2.70-2.77, 2 Ru 2.70, 4 Re 2.71-2.78
Tc 0.4376 0.8118 0.4172  6 Tc 2.70-2.76, 3 Re 2.71-2.77, 3 Ru 2.75-2.77
Re 0.9375 0.9378 0.5855  4 Ru 2.71-2.78, 2 Re 2.71, 6 Tc 2.71-2.78
Re 0.9375 0.5622 0.0855  4 Ru 2.71-2.78, 2 Re 2.71, 6 Tc 2.71-2.78
Tc 0.9376 0.6869 0.5815  3 Ru 2.70-2.76, 6 Tc 2.70-2.77, 3 Re 2.75-2.78

Calculated values
ΔE_f = -0.035 eV per atom

***

2.
Density functional theory data (PBE) for a relaxed ReTc2Ru crystal.

Lattice parameters (Å, degrees): 4.7451 4.7451 4.7506 80.38 80.38 33.51
With the nearest neighbours (Å) after each atom.
Element x y z (fractional)
Tc 0.4984 0.4984 0.5030  6 Tc 2.72-2.76, 3 Ru 2.72-2.75, 3 Re 2.74-2.75
Tc 0.0016 0.0016 0.9970  6 Tc 2.72-2.76, 3 Ru 2.72-2.75, 3 Re 2.74-2.75
Re 0.2500 0.2500 0.2500  6 Tc 2.74-2.75, 2 Re 2.74, 4 Ru 2.74
Ru 0.7500 0.7500 0.7500  6 Tc 2.72-2.75, 2 Ru 2.74, 4 Re 2.74

Calculated values
ΔE_f = 0.059 eV per atom

***

3.
Density functional theory data (PBE) for a relaxed ReTcRu2 crystal.

Lattice parameters (Å, degrees): 2.7269 2.7269 7.7613 90.00 90.00 90.00
With the nearest neighbours (Å) after each atom.
Element x y z (fractional)
Ru 0.5000 0.5000 0.2545  4 Tc 2.66, 8 Ru 2.73-2.78
Tc 0.0000 0.0000 0.4899  4 Ru 2.66, 4 Tc 2.73, 4 Re 2.85
Re 0.5000 0.5000 0.7595  4 Ru 2.66, 4 Re 2.73, 4 Tc 2.85
Ru 0.0000 0.0000 0.9961  4 Re 2.66, 8 Ru 2.73-2.78

Calculated values
ΔE_f = 0.061 eV per atom

***

4.
Density functional theory data (PBE) for a relaxed Re3Tc2Ru crystal.

Lattice parameters (Å, degrees): 2.7412 9.2349 9.8304 116.68 66.97 125.69
With the nearest neighbours (Å) after each atom.
Element x y z (fractional)
Ru 0.5418 0.0727 0.4014  5 Re 2.66-2.84, 4 Ru 2.69-2.75, 3 Tc 2.71-2.74
Ru 0.4582 0.9273 0.5986  5 Re 2.66-2.84, 4 Ru 2.69-2.75, 3 Tc 2.71-2.74
Tc 0.9169 0.8507 0.8756  6 Re 2.65-2.88, 5 Tc 2.67-2.81, 1 Ru 2.73
Tc 0.6838 0.3789 0.3806  4 Re 2.63-2.89, 2 Ru 2.71-2.74, 6 Tc 2.73-2.81
Re 0.1557 0.4590 0.1169  2 Re 2.43-2.68, 2 Tc 2.63-2.65
Tc 0.3162 0.6211 0.6194  4 Re 2.63-2.89, 2 Ru 2.71-2.74, 6 Tc 2.73-2.81
Re 0.8443 0.5410 0.8831  2 Re 2.43-2.68, 2 Tc 2.63-2.65
Tc 0.0831 0.1493 0.1244  6 Re 2.65-2.88, 5 Tc 2.67-2.81, 1 Ru 2.73
Re 0.1419 0.2940 0.6467  3 Ru 2.66-2.73, 3 Tc 2.67-2.89, 6 Re 2.68-2.83
Re 0.9634 0.8416 0.1425  4 Tc 2.72-2.88, 6 Re 2.72-2.83, 2 Ru 2.81-2.84
Re 0.0366 0.1584 0.8575  4 Tc 2.72-2.88, 6 Re 2.72-2.83, 2 Ru 2.81-2.84
Re 0.8581 0.7060 0.3533  3 Ru 2.66-2.73, 3 Tc 2.67-2.89, 6 Re 2.68-2.83

Calculated values
ΔE_f = 0.060 eV per atom

***

Number 1: E_tot -170.38 eV/cell. Number 2: E_tot -42.22 eV/cell. Number 3: E_tot -41.12 eV/cell. Number 4: E_tot -133.98 eV/cell.